Compound: CSe
Source: Alexandria
Functional: PBE
Structure: optimized geometry

The structure in POSCAR format:
```
CSe
1.0
1.3073 -2.2643 0.0000
1.3073 2.2643 0.0000
0.0000 0.0000 24.7631
C Se
4 4
Direct
0.0000 0.0000 0.2500
0.0000 0.0000 0.7500
0.3333 0.6667 0.7500
0.6667 0.3333 0.2500
0.3333 0.6667 0.0766
0.6667 0.3333 0.5766
0.6667 0.3333 0.9234
0.3333 0.6667 0.4234
```

V	146.6	Å³ per cell
uncorrected formation energy	504	meV per atom